w.
Entry from Alexandria via LeMat-Bulk: a geometry-optimized NaZrGa structure (GGA-PBE).

Computed properties:
* calculated volume: 26.1 Å³ per atom

Unit cell a=10.305 b=3.716 c=4.181 alpha=90.00 beta=101.74 gamma=90.00
Sites, in units of the cell vectors:
Ga  0.093  0.750  0.046
Ga  0.907  0.250  0.954
Na  0.382  0.750  0.191
Na  0.618  0.250  0.809
Zr  0.876  0.750  0.438
Zr  0.124  0.250  0.562

x.
Entry from Alexandria via LeMat-Bulk: a geometry-optimized NaZrGa structure (GGA-PBE).

Computed properties:
* calculated volume: 22.6 Å³ per atom

Unit cell a=9.949 b=5.304 c=5.304 alpha=133.52 beta=133.06 gamma=46.94
Sites, in units of the cell vectors:
Na  0.434  0.414  0.586
Na  0.566  0.586  0.414
Zr  0.056  0.097  0.903
Zr  0.944  0.903  0.097
Ga  0.800  0.705  0.295
Ga  0.200  0.295  0.705

The most stable of them is w.

w.
Entry from Alexandria via LeMat-Bulk: a geometry-optimized NaZrGa structure (GGA-PBE).

Computed properties:
* calculated volume: 22.9 Å³ per atom

Unit cell a=4.862 b=9.084 c=3.159 alpha=80.15 beta=90.00 gamma=89.97
Sites, in units of the cell vectors:
Zr  0.517  0.893  0.354
Zr  0.018  0.679  0.459
Na  0.019  0.267  0.173
Na  0.518  0.482  0.054
Ga  0.519  0.156  0.724
Ga  0.017  0.942  0.829

x.
Entry from Alexandria via LeMat-Bulk: a geometry-optimized NaZrGa structure (GGA-PBE).

Computed properties:
* calculated volume: 21.1 Å³ per atom

Unit cell a=6.297 b=4.484 c=8.961 alpha=90.00 beta=90.00 gamma=90.00
Sites, in units of the cell vectors:
Ga  0.806  0.250  0.821
Ga  0.694  0.750  0.321
Ga  0.306  0.250  0.679
Ga  0.194  0.750  0.179
Zr  0.923  0.250  0.153
Zr  0.423  0.250  0.347
Zr  0.577  0.750  0.653
Zr  0.077  0.750  0.847
Na  0.380  0.250  0.990
Na  0.120  0.750  0.490
Na  0.880  0.250  0.510
Na  0.620  0.750  0.010

The most stable of them is x.

w.
Entry from Alexandria via LeMat-Bulk: a geometry-optimized NaZrGa structure (GGA-PBE).

Computed properties:
* calculated volume: 24.0 Å³ per atom

Unit cell a=5.829 b=8.175 c=3.139 alpha=90.13 beta=105.56 gamma=89.67
Sites, in units of the cell vectors:
Ga  0.555  0.795  0.017
Ga  0.102  0.302  0.794
Na  0.545  0.458  0.513
Na  0.021  0.708  0.746
Zr  0.328  0.046  0.405
Zr  0.784  0.110  0.133

x.
Entry from Alexandria via LeMat-Bulk: a geometry-optimized NaZrGa structure (GGA-PBE).

Computed properties:
* calculated volume: 29.1 Å³ per atom

Unit cell a=5.001 b=5.001 c=6.991 alpha=90.00 beta=90.00 gamma=90.00
Sites, in units of the cell vectors:
Ga  0.000  0.000  0.500
Ga  0.500  0.500  0.500
Na  0.000  0.500  0.164
Na  0.500  0.000  0.836
Zr  0.000  0.500  0.630
Zr  0.500  0.000  0.370

The most stable of them is w.

w.
Entry from Alexandria via LeMat-Bulk: a geometry-optimized NaZrGa structure (GGA-PBE).

Computed properties:
* calculated volume: 21.7 Å³ per atom

Unit cell a=8.078 b=8.078 c=4.319 alpha=90.00 beta=90.00 gamma=27.58
Sites, in units of the cell vectors:
Na  0.500  0.500  0.500
Na  0.000  0.000  0.000
Zr  0.677  0.677  0.000
Zr  0.323  0.323  0.000
Ga  0.184  0.184  0.500
Ga  0.816  0.816  0.500

x.
Entry from Alexandria via LeMat-Bulk: a geometry-optimized NaZrGa structure (GGA-PBE).

Computed properties:
* calculated volume: 24.8 Å³ per atom

Unit cell a=4.720 b=4.720 c=4.720 alpha=60.00 beta=60.00 gamma=60.00
Sites, in units of the cell vectors:
Ga  0.000  0.000  0.000
Na  0.250  0.250  0.250
Zr  0.750  0.750  0.750

The most stable of them is w.

w.
Entry from Alexandria via LeMat-Bulk: a geometry-optimized NaZrGa structure (GGA-PBE).

Computed properties:
* calculated volume: 25.0 Å³ per atom

Unit cell a=4.073 b=11.435 c=3.214 alpha=90.00 beta=90.00 gamma=90.00
Sites, in units of the cell vectors:
Ga  0.500  0.188  0.000
Ga  0.000  0.812  0.500
Na  0.500  0.630  0.000
Na  0.000  0.370  0.500
Zr  0.000  0.081  0.500
Zr  0.500  0.919  0.000

x.
Entry from Alexandria via LeMat-Bulk: a geometry-optimized NaZrGa structure (GGA-PBE).

Computed properties:
* calculated volume: 24.2 Å³ per atom

Unit cell a=9.529 b=9.529 c=3.505 alpha=90.00 beta=90.00 gamma=152.85
Sites, in units of the cell vectors:
Ga  0.444  0.556  0.250
Ga  0.556  0.444  0.750
Zr  0.934  0.066  0.750
Zr  0.066  0.934  0.250
Na  0.298  0.702  0.750
Na  0.702  0.298  0.250

The most stable of them is w.

w.
Entry from Alexandria via LeMat-Bulk: a geometry-optimized NaZrGa structure (GGA-PBE).

Computed properties:
* calculated volume: 22.1 Å³ per atom

Unit cell a=13.731 b=5.552 c=5.552 alpha=132.09 beta=145.94 gamma=34.06
Sites, in units of the cell vectors:
Ga  0.834  0.685  0.315
Ga  0.075  0.163  0.837
Na  0.690  0.158  0.842
Na  0.573  0.626  0.374
Zr  0.126  0.795  0.205
Zr  0.283  0.298  0.702

x.
Entry from Alexandria via LeMat-Bulk: a geometry-optimized NaZrGa structure (GGA-PBE).

Computed properties:
* calculated volume: 34.0 Å³ per atom

Unit cell a=4.682 b=4.682 c=10.744 alpha=90.00 beta=90.00 gamma=120.00
Sites, in units of the cell vectors:
Na  0.333  0.667  0.250
Na  0.667  0.333  0.750
Ga  0.000  0.000  0.250
Ga  0.000  0.000  0.750
Zr  0.000  0.000  0.500
Zr  0.000  0.000  0.000

The most stable of them is w.

w.
Entry from Alexandria via LeMat-Bulk: a geometry-optimized NaZrGa structure (GGA-PBE).

Computed properties:
* calculated volume: 23.2 Å³ per atom

Unit cell a=13.499 b=6.752 c=6.752 alpha=153.57 beta=146.92 gamma=33.08
Sites, in units of the cell vectors:
Na  0.434  0.422  0.578
Na  0.566  0.578  0.422
Ga  0.795  0.697  0.303
Ga  0.205  0.303  0.697
Zr  0.044  0.111  0.889
Zr  0.956  0.889  0.111

x.
Entry from Alexandria via LeMat-Bulk: a geometry-optimized NaZrGa structure (GGA-PBE).

Computed properties:
* calculated volume: 23.8 Å³ per atom

Unit cell a=3.149 b=3.149 c=14.410 alpha=90.00 beta=90.08 gamma=90.00
Sites, in units of the cell vectors:
Zr  0.749  0.750  0.817
Zr  0.251  0.250  0.183
Ga  0.750  0.750  0.056
Ga  0.250  0.250  0.944
Na  0.248  0.250  0.615
Na  0.752  0.750  0.385

y.
Entry from Alexandria via LeMat-Bulk: a geometry-optimized NaZrGa structure (GGA-PBE).

Computed properties:
* calculated volume: 22.3 Å³ per atom

Unit cell a=4.969 b=4.969 c=3.128 alpha=90.00 beta=90.00 gamma=120.00
Sites, in units of the cell vectors:
Zr  0.333  0.667  0.000
Ga  0.000  0.000  0.000
Na  0.667  0.333  0.500

z.
Entry from Alexandria via LeMat-Bulk: a geometry-optimized NaZrGa structure (GGA-PBE).

Computed properties:
* calculated volume: 21.2 Å³ per atom

Unit cell a=5.010 b=5.010 c=5.853 alpha=90.00 beta=90.00 gamma=120.00
Sites, in units of the cell vectors:
Zr  0.667  0.333  0.750
Zr  0.333  0.667  0.250
Ga  0.333  0.667  0.750
Ga  0.667  0.333  0.250
Na  0.000  0.000  0.500
Na  0.000  0.000  0.000

The most stable of them is z.

w.
Entry from Alexandria via LeMat-Bulk: a geometry-optimized NaZrGa structure (GGA-PBE).

Computed properties:
* calculated volume: 21.1 Å³ per atom

Unit cell a=8.423 b=6.135 c=4.896 alpha=90.00 beta=90.00 gamma=90.00
Sites, in units of the cell vectors:
Na  0.336  0.750  0.000
Na  0.836  0.750  0.500
Na  0.164  0.250  0.500
Na  0.664  0.250  0.000
Zr  0.671  0.750  0.000
Zr  0.829  0.250  0.500
Zr  0.329  0.250  0.000
Zr  0.171  0.750  0.500
Ga  0.000  0.500  0.000
Ga  0.000  0.000  0.000
Ga  0.500  0.000  0.500
Ga  0.500  0.500  0.500

x.
Entry from Alexandria via LeMat-Bulk: a geometry-optimized NaZrGa structure (GGA-PBE).

Computed properties:
* calculated volume: 23.0 Å³ per atom

Unit cell a=3.179 b=3.179 c=13.683 alpha=90.00 beta=90.00 gamma=90.00
Sites, in units of the cell vectors:
Zr  0.000  0.500  0.085
Zr  0.500  0.000  0.915
Na  0.000  0.500  0.386
Na  0.500  0.000  0.614
Ga  0.500  0.000  0.227
Ga  0.000  0.500  0.773

The most stable of them is x.